The following is a PBE calculation of NbSe2I after structural relaxation, from Alexandria.

POSCAR file:
```
NbSe2I
1.0
3.470 0.000 0.000
-1.735 3.005 0.000
0.000 0.000 11.148
Nb Se I
1 2 1
Direct
0.000 0.000 0.000 Nb
0.333 0.667 0.849 Se
0.667 0.333 0.152 Se
0.667 0.333 0.526 I
```

Calculated values
relative energy among the computed polymorphs	0.000	eV/atom
uncorrected formation energy	-0.546	eV per atom
symmetry	P3m1